A plane-wave DFT calculation with PBE-GGA was carried out for a relaxed AcSm2Sb crystal. Values from VASP.

Properties
Final energy   -19.661 eV for the cell shown
Crystal system   tetragonal
Total moment   0.000 μB per cell
Symmetry   P4/mmm, No. 123
Formation energy from raw total energies   -0.498 eV per atom
Offset from the most stable computed form   0 meV per atom
Theoretical density   8.28 g cm⁻³

Geometry as Quantum ESPRESSO input:
```
&SYSTEM
  ibrav = 0, nat = 4, ntyp = 3
/
ATOMIC_SPECIES
Sb 121.76 Sb.upf
Ac 227.00 Ac.upf
Sm 150.36 Sm.upf
CELL_PARAMETERS angstrom
-3.037 1.629 2.168
-2.318 0.130 -3.345
-2.718 -7.200 1.603
ATOMIC_POSITIONS angstrom
Sb -4.036 -2.720 0.213
Ac -2.677 0.880 -0.589
Sm -1.914 -5.071 1.129
Sm -0.803 -2.128 0.474
```